Compound: CaMgTe3
Source: the Alexandria database
Functional: PBE
Structure: optimized geometry

abc: 5.498 5.498 5.498
angles: 90.00 90.00 90.00
Fractional positions:
Te 0.000 0.500 0.000
Te 0.500 0.000 0.000
Te 0.000 0.000 0.500
Mg 0.000 0.000 0.000
Ca 0.500 0.500 0.500

## Properties
* V: 33.2 A^3/atom
* uncorrected energy: -3.039 eV per atom